No. 1
# ScWAu

A relaxed structure of ScWAu (GGA-PBE, Alexandria via LeMat-Bulk).

Cell: 4.481 4.481 4.481 Å, 60.00 60.00 60.00°
Positions (direct):
1 Au 0.750 0.750 0.750
2 Sc 0.000 0.000 0.000
3 W 0.500 0.500 0.500

Output
energy above the most stable polymorph in this dataset	0.657	eV per atom
E_form	652.6	meV per atom
magnetization	0.0	Bohr magnetons per cell

---

No. 2
# Y2ReNiN

A relaxed structure of Y2ReNiN (GGA-PBE, Alexandria via LeMat-Bulk).

Cell: 4.840 3.856 4.840 Å, 90.00 90.00 90.00°
Positions (direct):
1 Y 0.000 0.000 0.500
2 Y 0.500 0.000 0.000
3 Re 0.000 0.500 0.000
4 N 0.000 0.000 0.000
5 Ni 0.500 0.500 0.500

Output
E_form (uncorrected)	-49	kJ/mol of atoms
magnetization	0.0	Bohr magnetons per cell

---

No. 3
# SmHoTlS

A relaxed structure of SmHoTlS (GGA-PBE, Alexandria via LeMat-Bulk).

Cell: 3.832 3.835 8.510 Å, 90.01 102.96 119.94°
Positions (direct):
1 Sm 0.101 0.948 0.065
2 Ho 0.505 0.151 0.670
3 Tl 0.972 0.384 0.372
4 S 0.299 0.548 0.862

Output
E_form (uncorrected)	-109	kJ/mol of atoms
magnetization	0.0	Bohr magnetons per cell

---

| no. | E (eV/cell) |
| --- | --- |
| 1 | -20.604 |
| 2 | -42.048 |
| 3 | -20.318 |